(1)
Material: CuGeRuAu2
Method: DFT, PBE
State: optimized geometry

Output
total magnetization = 2.3 μB per cell
calculated volume = 20.3 Å³/atom
symmetry = P4/mmm
energy of formation = 1.00 eV/atom
E_tot = -19.6 eV/cell
energy above the most stable polymorph in this dataset = 12.2 meV/atom

The structure in extended XYZ format:
```
5
Lattice="4.791 0.000 0.000 0.000 4.791 0.000 0.000 0.000 4.418" Properties=species:S:1:pos:R:3 pbc="T T T"
Cu 0.000 0.000 0.000
Ge 0.000 0.000 2.209
Ru 2.396 2.396 0.000
Au 0.000 2.396 2.209
Au 2.396 0.000 2.209
```

=====

(2)
Material: AlRh2
Method: DFT, PBE
State: optimized geometry

Output
total magnetization = 0.0 μB per cell
calculated volume = 14.1 Å³/atom
symmetry = P2_1/c
energy of formation = -0.58 eV/atom
E_tot = -80.7 eV/cell

The structure in extended XYZ format:
```
12
Lattice="6.619 0.000 0.000 0.000 5.287 0.000 -0.438 0.000 4.838" Properties=species:S:1:pos:R:3 pbc="T T T"
Al 1.068 0.570 1.935
Al 0.848 2.073 4.354
Al 5.332 3.213 0.484
Al 5.113 4.717 2.903
Rh 0.844 3.224 1.780
Rh 0.625 4.706 4.198
Rh 2.961 3.333 3.598
Rh 3.180 4.596 1.179
Rh 3.000 0.690 3.659
Rh 3.219 1.953 1.240
Rh 5.556 0.580 0.639
Rh 5.337 2.063 3.058
```

=====

(3)
Material: InAgAs2
Method: DFT, PBE
State: optimized geometry

Output
total magnetization = 0.0 μB per cell
calculated volume = 23.6 Å³/atom
symmetry = C2/m
energy of formation = 0.03 eV/atom
E_tot = -14.8 eV/cell

The structure in extended XYZ format:
```
4
Lattice="5.957 -1.845 0.000 5.957 1.845 0.000 -1.487 0.000 4.294" Properties=species:S:1:pos:R:3 pbc="T T T"
In 0.000 0.000 0.000
Ag 5.213 0.000 2.147
As 2.689 0.000 1.439
As 7.738 0.000 2.855
```

=====

(4)
Material: TmPt3Rh
Method: DFT, PBE
State: optimized geometry

Output
total magnetization = 0.0 μB per cell
calculated volume = 19.0 Å³/atom
symmetry = Cmcm
energy of formation = -0.41 eV/atom
E_tot = -64.0 eV/cell
energy above the most stable polymorph in this dataset = 125.0 meV/atom

The structure in extended XYZ format:
```
10
Lattice="3.255 -5.628 0.000 3.255 5.628 0.000 0.000 0.000 5.193" Properties=species:S:1:pos:R:3 pbc="T T T"
Tm 3.255 3.754 3.895
Tm 3.255 -3.754 1.298
Pt 1.301 1.123 3.895
Pt 1.301 -1.123 1.298
Pt 3.255 2.253 1.298
Pt 3.255 -2.253 3.895
Pt 5.208 1.123 3.895
Pt 5.208 -1.123 1.298
Rh 3.255 0.000 0.000
Rh 3.255 0.000 2.596
```

=====

(5)
Material: Pd8Pt3Au
Method: DFT, PBE
State: optimized geometry

Output
total magnetization = 0.0 μB per cell
calculated volume = 18.8 Å³/atom
symmetry = I4/mmm
energy of formation = 0.38 eV/atom
E_tot = -58.4 eV/cell
energy above the most stable polymorph in this dataset = 397.9 meV/atom

The structure in extended XYZ format:
```
12
Lattice="-3.214 3.214 5.469 3.214 -3.214 5.469 3.214 3.214 -5.469" Properties=species:S:1:pos:R:3 pbc="T T T"
Pd 1.574 1.574 -1.383
Pd 1.640 -1.640 4.086
Pd 1.574 1.574 1.383
Pd 1.640 -1.640 6.853
Pd -1.640 1.640 4.086
Pd 1.640 1.640 4.086
Pd -1.640 1.640 6.853
Pd 1.640 1.640 6.853
Pt 0.000 0.000 0.000
Pt 3.214 0.000 2.735
Pt 0.000 3.214 2.735
Au 0.000 0.000 5.469
```

=====

(6)
Material: Sr3SbN
Method: DFT, PBE
State: optimized geometry

Output
total magnetization = 0.0 μB per cell
calculated volume = 28.4 Å³/atom
symmetry = Pm-3m
E_tot = -22.1 eV/cell
formation energy without anion corrections = -0.928 eV per atom

The structure in extended XYZ format:
```
5
Lattice="5.216 0.000 0.000 0.000 5.216 0.000 0.000 0.000 5.216" Properties=species:S:1:pos:R:3 pbc="T T T"
Sr 0.000 0.000 2.608
Sr 0.000 2.608 0.000
Sr 2.608 0.000 0.000
Sb 2.608 2.608 2.608
N 0.000 0.000 0.000
```

=====

(7)
Material: PuHf2Se
Method: DFT, PBE
State: optimized geometry

Output
total magnetization = 6.2 μB per cell
calculated volume = 23.3 Å³/atom
symmetry = R-3m
E_tot = -37.8 eV/cell
formation energy without anion corrections = -0.031 eV per atom

The structure in extended XYZ format:
```
4
Lattice="1.650 0.953 9.905 -1.650 0.953 9.905 0.000 -1.905 9.905" Properties=species:S:1:pos:R:3 pbc="T T T"
Pu 0.000 0.000 0.000
Hf 0.000 0.000 2.990
Hf 0.000 0.000 26.726
Se 0.000 0.000 14.858
```

=====

(8)
Material: LiRh2
Method: DFT, PBE
State: optimized geometry

Output
total magnetization = 0.0 μB per cell
calculated volume = 13.7 Å³/atom
symmetry = Cm
energy of formation = -0.14 eV/atom
E_tot = -34.1 eV/cell

The structure in extended XYZ format:
```
6
Lattice="4.903 -1.338 0.000 4.903 1.338 0.000 -1.689 0.000 6.277" Properties=species:S:1:pos:R:3 pbc="T T T"
Li 0.000 0.000 0.000
Li 5.856 0.000 2.194
Rh -0.571 0.000 3.953
Rh 2.056 0.000 4.191
Rh 3.217 0.000 1.840
Rh 5.572 0.000 6.017
```

=====

(9)
Material: Nd2YNpO8
Method: DFT, PBE
State: optimized geometry

Output
total magnetization = 0.0 μB per cell
calculated volume = 13.8 Å³/atom
symmetry = P2/m
E_tot = -106.0 eV/cell
formation energy without anion corrections = -3.120 eV per atom

The structure in extended XYZ format:
```
12
Lattice="3.943 0.000 0.000 0.000 7.583 0.000 -0.446 0.000 5.531" Properties=species:S:1:pos:R:3 pbc="T T T"
Nd 0.000 1.837 0.000
Nd 0.000 5.746 0.000
Y 1.748 0.000 2.766
Np 1.748 3.791 2.766
O -0.084 0.000 1.404
O 0.091 3.791 1.570
O 1.512 2.122 4.032
O 1.512 5.461 4.032
O 1.985 2.122 1.499
O 1.985 5.461 1.499
O 3.406 3.791 3.961
O 3.581 0.000 4.127
```

=====

(10)
Material: RbSCl2
Method: DFT, PBE
State: optimized geometry

Output
total magnetization = 0.0 μB per cell
calculated volume = 34.9 Å³/atom
symmetry = I-42d
E_tot = -21.6 eV/cell
formation energy without anion corrections = -0.507 eV per atom
energy above the most stable polymorph in this dataset = 171.8 meV/atom

The structure in extended XYZ format:
```
8
Lattice="-2.931 2.931 8.132 2.931 -2.931 8.132 2.931 2.931 -8.132" Properties=species:S:1:pos:R:3 pbc="T T T"
Rb 0.000 0.000 0.000
Rb 0.000 2.931 4.066
S 2.931 0.000 4.066
S 0.000 0.000 8.132
Cl 1.465 -0.713 6.099
Cl 2.218 1.465 2.033
Cl 1.465 3.644 -2.033
Cl 0.713 1.465 10.165
```

=====

(11)
Material: NaPbSe2N
Method: DFT, PBE
State: optimized geometry

Output
total magnetization = 2.2 μB per cell
calculated volume = 28.3 Å³/atom
symmetry = P4/mmm
E_tot = -17.5 eV/cell
formation energy without anion corrections = 0.554 eV per atom
energy above the most stable polymorph in this dataset = 0.0 meV/atom

The structure in extended XYZ format:
```
5
Lattice="5.558 0.000 0.000 0.000 5.558 0.000 0.000 0.000 4.588" Properties=species:S:1:pos:R:3 pbc="T T T"
Na 0.000 0.000 0.000
Pb 2.779 2.779 2.294
Se 0.000 2.779 2.294
Se 2.779 0.000 2.294
N 2.779 2.779 0.000
```

=====

(12)
Material: NaS5Cl
Method: DFT, PBE
State: optimized geometry

Output
total magnetization = 0.0 μB per cell
calculated volume = 31.7 Å³/atom
symmetry = P1
E_tot = -25.5 eV/cell
formation energy without anion corrections = -0.248 eV per atom

The structure in extended XYZ format:
```
7
Lattice="4.271 0.000 0.000 -0.325 7.125 0.000 -1.558 -2.849 7.288" Properties=species:S:1:pos:R:3 pbc="T T T"
Na 0.000 0.000 0.000
S -0.435 3.633 4.447
S -0.756 0.343 6.793
S 0.993 5.134 4.368
S 2.407 4.297 3.132
S 1.883 1.346 6.470
Cl 2.134 0.797 1.154
```

=====

(13)
Material: K3RbB
Method: DFT, PBE
State: optimized geometry

Output
total magnetization = 1.2 μB per cell
calculated volume = 54.2 Å³/atom
symmetry = Pm-3m
energy of formation = 0.72 eV/atom
E_tot = -7.3 eV/cell
energy above the most stable polymorph in this dataset = 0.0 meV/atom

The structure in extended XYZ format:
```
5
Lattice="6.472 0.000 0.000 0.000 6.472 0.000 0.000 0.000 6.472" Properties=species:S:1:pos:R:3 pbc="T T T"
K 0.000 0.000 3.236
K 0.000 3.236 0.000
K 3.236 0.000 0.000
Rb 3.236 3.236 3.236
B 0.000 0.000 0.000
```

=====

(14)
Material: USi2MoIr
Method: DFT, PBE
State: optimized geometry

Output
total magnetization = 1.9 μB per cell
calculated volume = 17.2 Å³/atom
symmetry = I-4m2
E_tot = -44.4 eV/cell
formation energy without anion corrections = -0.511 eV per atom

The structure in extended XYZ format:
```
5
Lattice="-2.100 2.100 4.866 2.100 -2.100 4.866 2.100 2.100 -4.866" Properties=species:S:1:pos:R:3 pbc="T T T"
U 0.000 0.000 0.000
Si 0.000 0.000 3.680
Si 0.000 0.000 6.051
Mo 0.000 2.100 2.433
Ir 2.100 0.000 2.433
```

=====

(15)
Material: In3Bi3Pb
Method: DFT, PBE
State: optimized geometry

Output
total magnetization = 0.0 μB per cell
calculated volume = 35.3 Å³/atom
symmetry = R-3
energy of formation = 0.08 eV/atom
E_tot = -46.0 eV/cell
energy above the most stable polymorph in this dataset = 0.0 meV/atom

The structure in extended XYZ format:
```
14
Lattice="4.747 2.741 6.329 -4.747 2.741 6.329 0.000 -5.481 6.329" Properties=species:S:1:pos:R:3 pbc="T T T"
In -1.501 -2.865 8.010
In -3.232 -0.133 10.976
In -1.731 2.732 8.010
In 1.731 -2.732 10.976
In 3.232 0.133 8.010
In 1.501 2.865 10.976
Bi -3.123 -0.107 7.851
Bi -1.469 -2.758 11.135
Bi 1.654 -2.651 7.851
Bi -1.654 2.651 11.135
Bi 1.469 2.758 7.851
Bi 3.123 0.107 11.135
Pb 0.000 0.000 6.310
Pb 0.000 0.000 12.676
```

=====

(16)
Material: KNa2Ca2
Method: DFT, PBE
State: optimized geometry

Output
total magnetization = 0.0 μB per cell
calculated volume = 47.9 Å³/atom
symmetry = I4/mmm
energy of formation = 0.16 eV/atom
E_tot = -6.9 eV/cell
energy above the most stable polymorph in this dataset = 33.6 meV/atom

The structure in extended XYZ format:
```
5
Lattice="-2.665 2.665 8.433 2.665 -2.665 8.433 2.665 2.665 -8.433" Properties=species:S:1:pos:R:3 pbc="T T T"
K 0.000 0.000 0.000
Na 0.000 0.000 6.771
Na 0.000 0.000 10.095
Ca 2.665 0.000 4.217
Ca 0.000 2.665 4.217
```

=====

(17)
Material: Sr3U11O36
Method: DFT, PBE
State: optimized geometry

Output
total magnetization = 0.0 μB per cell
calculated volume = 16.6 Å³/atom
symmetry = Pmmn
E_tot = -931.0 eV/cell
formation energy without anion corrections = -3.156 eV per atom

The structure in extended XYZ format:
```
100
Lattice="8.482 0.000 0.000 0.000 28.706 0.000 0.000 0.000 6.810" Properties=species:S:1:pos:R:3 pbc="T T T"
Sr 2.121 3.007 1.240
Sr 2.121 7.177 1.816
Sr 2.121 11.346 1.240
Sr 6.362 17.360 5.570
Sr 6.362 21.530 4.994
Sr 6.362 25.699 5.570
U 2.121 0.901 4.944
U 2.121 5.090 4.925
U 2.121 9.263 4.925
U 2.121 13.452 4.944
U 2.121 15.413 1.863
U 2.121 17.673 5.082
U 2.121 19.454 1.870
U 2.121 21.530 5.552
U 2.121 23.605 1.870
U 2.121 25.386 5.082
U 2.121 27.646 1.863
U 6.362 1.060 4.947
U 6.362 3.320 1.728
U 6.362 5.101 4.940
U 6.362 7.177 1.258
U 6.362 9.252 4.940
U 6.362 11.033 1.728
U 6.362 13.293 4.947
U 6.362 15.254 1.866
U 6.362 19.443 1.885
U 6.362 23.616 1.885
U 6.362 27.805 1.866
O 0.127 19.418 1.859
O 0.127 23.642 1.859
O 0.188 15.304 1.893
O 0.188 27.756 1.893
O 0.269 17.641 5.079
O 0.274 21.530 5.543
O 0.269 25.418 5.079
O 2.121 0.604 0.103
O 2.121 1.141 2.981
O 2.121 2.896 5.404
O 2.121 4.832 3.048
O 2.121 5.327 6.807
O 2.121 7.177 4.443
O 2.121 9.026 6.807
O 2.121 9.521 3.048
O 2.121 11.457 5.404
O 2.121 13.212 2.981
O 2.121 13.749 0.103
O 2.121 15.387 4.344
O 2.121 16.602 0.219
O 2.121 17.468 2.769
O 2.121 19.415 6.538
O 2.121 19.890 3.931
O 2.121 21.530 1.277
O 2.121 23.170 3.931
O 2.121 23.645 6.538
O 2.121 25.592 2.769
O 2.121 26.457 0.219
O 2.121 27.672 4.344
O 3.972 17.641 5.079
O 3.967 21.530 5.543
O 3.972 25.418 5.079
O 4.053 15.304 1.893
O 4.053 27.756 1.893
O 4.114 19.418 1.859
O 4.114 23.642 1.859
O 4.369 5.064 4.951
O 4.369 9.289 4.951
O 4.429 0.951 4.917
O 4.429 13.403 4.917
O 4.510 3.288 1.731
O 4.515 7.177 1.267
O 4.510 11.065 1.731
O 6.362 1.034 2.466
O 6.362 2.249 6.591
O 6.362 3.115 4.041
O 6.362 5.062 0.272
O 6.362 5.536 2.879
O 6.362 7.177 5.533
O 6.362 8.817 2.879
O 6.362 9.292 0.272
O 6.362 11.238 4.041
O 6.362 12.104 6.591
O 6.362 13.319 2.466
O 6.362 14.957 6.707
O 6.362 15.494 3.828
O 6.362 17.249 1.405
O 6.362 19.185 3.762
O 6.362 19.680 0.003
O 6.362 21.530 2.367
O 6.362 23.379 0.003
O 6.362 23.874 3.762
O 6.362 25.810 1.405
O 6.362 27.566 3.828
O 6.362 28.102 6.707
O 8.213 3.288 1.731
O 8.209 7.177 1.267
O 8.213 11.065 1.731
O 8.295 0.951 4.917
O 8.295 13.403 4.917
O 8.355 5.064 4.951
O 8.355 9.289 4.951
```

=====

(18)
Material: LaPm3Nd2S6
Method: DFT, PBE
State: optimized geometry

Output
total magnetization = 0.0 μB per cell
calculated volume = 23.7 Å³/atom
symmetry = C2/m
E_tot = -78.2 eV/cell
formation energy without anion corrections = -2.059 eV per atom

The structure in extended XYZ format:
```
12
Lattice="3.515 -6.108 0.000 3.515 6.108 0.000 -2.352 0.000 6.636" Properties=species:S:1:pos:R:3 pbc="T T T"
La 0.000 0.000 0.000
Pm 2.340 4.072 3.318
Pm 2.340 0.000 3.318
Pm 2.340 -4.072 3.318
Nd 3.515 2.043 0.000
Nd 3.515 -2.043 0.000
S 1.178 2.048 1.693
S 0.010 0.000 4.950
S 1.178 -2.048 1.693
S 3.501 2.048 4.943
S 4.669 0.000 1.686
S 3.501 -2.048 4.943
```

=====

(19)
Material: Tm2PaOsC4
Method: DFT, PBE
State: optimized geometry

Output
total magnetization = 0.0 μB per cell
calculated volume = 14.9 Å³/atom
symmetry = Cmcm
energy of formation = -0.09 eV/atom
E_tot = -134.5 eV/cell

The structure in extended XYZ format:
```
16
Lattice="1.728 -5.850 0.000 1.728 5.850 0.000 0.000 0.000 11.828" Properties=species:S:1:pos:R:3 pbc="T T T"
Tm 1.728 4.314 6.402
Tm 1.728 4.314 11.340
Tm 1.728 -4.314 0.488
Tm 1.728 -4.314 5.426
Pa 1.728 1.151 8.871
Pa 1.728 -1.151 2.957
Os 1.728 1.838 2.957
Os 1.728 -1.838 8.871
C 1.728 5.123 8.871
C 1.728 3.166 1.575
C 1.728 3.166 4.339
C 1.728 0.000 0.000
C 1.728 0.000 5.914
C 1.728 -3.166 7.489
C 1.728 -3.166 10.253
C 1.728 -5.123 2.957
```